## one
Dy2Y4Ho: relaxed, PBE.

Values from the calculation:
The value obtained for the magnetization is 0.0 μB per cell.

Unit cell a=6.712 b=11.450 c=12.037 alpha=90.00 beta=90.00 gamma=90.00
Space group Imma (No. 74)
Symmetry-distinct sites (fractional):
Dy: 0.000 0.000 0.000
Dy: 0.000 0.250 0.223
Y: 0.000 0.007 0.646
Y: 0.226 0.250 0.489
Ho: 0.250 0.250 0.750

---

## two
Dy2Y4Ho: relaxed, PBE.

Values from the calculation:
The value obtained for the magnetization is 0.0 μB per cell.

Unit cell a=16.733 b=3.550 c=8.719 alpha=90.00 beta=119.73 gamma=90.00
Space group C2/m (No. 12)
Symmetry-distinct sites (fractional):
Dy: 0.070 0.000 0.430
Y: 0.141 0.500 0.835
Y: 0.204 0.500 0.293
Ho: 0.000 0.000 0.000

---

Last place for stability: one

---

## one
Dy4YHo: relaxed, PBE.

Values from the calculation:
The value obtained for the magnetization is 1.1 μB per cell.

Unit cell a=9.259 b=9.259 c=9.259 alpha=90.00 beta=90.00 gamma=90.00
Space group F-43m (No. 216)
Symmetry-distinct sites (fractional):
Dy: 0.125 0.125 0.125
Y: 0.250 0.250 0.750
Ho: 0.000 0.000 0.500

---

## two
Dy4YHo: relaxed, PBE.

Values from the calculation:
The value obtained for the magnetization is 0.0 μB per cell.

Unit cell a=8.752 b=14.783 c=6.442 alpha=90.00 beta=111.76 gamma=90.00
Space group C2/c (No. 15)
Symmetry-distinct sites (fractional):
Dy: 0.091 0.198 0.040
Dy: 0.202 0.373 0.381
Y: 0.000 0.416 0.750
Ho: 0.000 0.003 0.750

---

Last place for stability: one

---

## one
Dy3Y4Ho8: relaxed, PBE.

Values from the calculation:
The value obtained for the magnetization is 0.0 μB per cell.

Unit cell a=6.9006 b=6.9006 c=35.1540 alpha=90.00 beta=90.00 gamma=120.00
Space group R-3m (No. 166, hexagonal axes)
Symmetry-distinct sites (fractional):
Dy: 0.0000 0.5000 0.0000
Y: 0.0000 0.0000 0.0000
Y: 0.0000 0.0000 0.1638
Y: 0.0000 0.0000 0.5000
Ho: 0.0000 0.0000 0.2553
Ho: 0.0020 0.5010 0.2505

---

## two
Dy3Y4Ho8: relaxed, PBE.

Values from the calculation:
The value obtained for the magnetization is 0.3 μB per cell.

Unit cell a=13.320 b=12.765 c=6.725 alpha=90.00 beta=120.25 gamma=90.00
Space group C2/m (No. 12)
Symmetry-distinct sites (fractional):
Dy: 0.000 0.000 0.000
Dy: 0.250 0.250 0.000
Y: 0.000 0.500 0.000
Y: 0.000 0.500 0.500
Y: 0.250 0.250 0.500
Ho: 0.000 0.140 0.500
Ho: 0.000 0.246 0.000
Ho: 0.231 0.000 0.489
Ho: 0.231 0.000 0.967

---

Last place for stability: two

---

## one
Dy4Y5Ho2: relaxed, PBE.

Values from the calculation:
The value obtained for the magnetization is 0.0 μB per cell.

Unit cell a=11.000 b=7.419 c=9.143 alpha=90.00 beta=106.76 gamma=90.00
Space group C2/m (No. 12)
Symmetry-distinct sites (fractional):
Dy: 0.171 0.000 0.122
Dy: 0.180 0.000 0.499
Y: 0.000 0.500 0.500
Y: 0.069 0.221 0.781
Ho: 0.145 0.500 0.122

---

## two
Dy4Y5Ho2: relaxed, PBE.

Values from the calculation:
The value obtained for the magnetization is 0.0 μB per cell.

Unit cell a=3.547 b=8.705 c=11.785 alpha=75.86 beta=81.40 gamma=89.98
Space group P-1 (No. 2)
Symmetry-distinct sites (fractional):
Dy: 0.046 0.365 0.408
Dy: 0.318 0.546 0.863
Y: 0.136 0.090 0.227
Y: 0.226 0.816 0.047
Y: 0.500 0.000 0.500
Ho: 0.410 0.275 0.680

---

Last place for stability: one

---

## one
Dy7YHo4: relaxed, PBE.

Values from the calculation:
The value obtained for the magnetization is 0.4 μB per cell.

Unit cell a=11.997 b=5.851 c=12.631 alpha=90.00 beta=118.27 gamma=90.00
Space group C2/m (No. 12)
Symmetry-distinct sites (fractional):
Dy: 0.000 0.000 0.000
Dy: 0.060 0.500 0.324
Dy: 0.134 0.000 0.502
Dy: 0.213 0.500 0.923
Y: 0.000 0.500 0.000
Ho: 0.136 0.000 0.775
Ho: 0.248 0.500 0.683

---

## two
Dy7YHo4: relaxed, PBE.

Values from the calculation:
The value obtained for the magnetization is 0.0 μB per cell.

Unit cell a=6.470 b=6.785 c=8.993 alpha=86.19 beta=76.81 gamma=82.13
Space group P-1 (No. 2)
Symmetry-distinct sites (fractional):
Dy: 0.000 0.000 0.000
Dy: 0.193 0.603 0.386
Dy: 0.313 0.204 0.642
Dy: 0.486 0.750 0.051
Y: 0.000 0.500 0.000
Ho: 0.160 0.112 0.313
Ho: 0.359 0.698 0.714

---

Last place for stability: one

---

## one
Dy2Y5Ho: relaxed, PBE.

Values from the calculation:
The value obtained for the magnetization is 0.0 μB per cell.

Unit cell a=7.118 b=14.235 c=5.023 alpha=90.00 beta=90.00 gamma=90.00
Space group Pbam (No. 55)
Symmetry-distinct sites (fractional):
Dy: 0.249 0.125 0.000
Y: 0.000 0.500 0.500
Y: 0.001 0.751 0.500
Y: 0.250 0.375 0.000
Ho: 0.000 0.000 0.500

---

## two
Dy2Y5Ho: relaxed, PBE.

Values from the calculation:
The value obtained for the magnetization is 0.0 μB per cell.

Unit cell a=6.716 b=9.211 c=9.211 alpha=86.31 beta=72.43 gamma=72.41
Space group P-1 (No. 2)
Symmetry-distinct sites (fractional):
Dy: 0.001 0.167 0.082
Dy: 0.499 0.583 0.666
Y: 0.002 0.334 0.415
Y: 0.247 0.792 0.210
Y: 0.251 0.458 0.041
Y: 0.251 0.957 0.542
Y: 0.498 0.917 0.834
Ho: 0.252 0.292 0.708

---

Last place for stability: one

---

## one
DyYHo6: relaxed, PBE.

Values from the calculation:
The value obtained for the magnetization is 0.0 μB per cell.

Unit cell a=6.563 b=11.384 c=6.796 alpha=90.00 beta=90.00 gamma=90.00
Space group C2/m (No. 12)
Symmetry-distinct sites (fractional):
Dy: 0.000 0.000 0.000
Y: 0.000 0.000 0.500
Ho: 0.040 0.500 0.750
Ho: 0.228 0.230 0.751

---

## two
DyYHo6: relaxed, PBE.

Values from the calculation:
The value obtained for the magnetization is 0.0 μB per cell.

Unit cell a=4.991 b=6.120 c=9.336 alpha=90.12 beta=105.45 gamma=114.04
Space group P-1 (No. 2)
Symmetry-distinct sites (fractional):
Dy: 0.000 0.000 0.000
Y: 0.500 0.500 0.500
Ho: 0.125 0.875 0.374
Ho: 0.251 0.751 0.751
Ho: 0.375 0.625 0.124

---

Last place for stability: one

---

## one
DyY2Ho7: relaxed, PBE.

Values from the calculation:
The value obtained for the magnetization is 0.0 μB per cell.

Unit cell a=8.538 b=17.654 c=5.063 alpha=90.00 beta=90.00 gamma=90.00
Space group Cmmm (No. 65)
Symmetry-distinct sites (fractional):
Dy: 0.000 0.000 0.000
Y: 0.000 0.297 0.500
Ho: 0.000 0.191 0.000
Ho: 0.000 0.500 0.500
Ho: 0.181 0.105 0.500

---

## two
DyY2Ho7: relaxed, PBE.

Values from the calculation:
The value obtained for the magnetization is 0.0 μB per cell.

Unit cell a=6.111 b=29.549 c=3.487 alpha=90.00 beta=90.45 gamma=90.00
Space group C2/m (No. 12)
Symmetry-distinct sites (fractional):
Dy: 0.000 0.000 0.000
Y: 0.000 0.207 0.500
Ho: 0.000 0.309 0.000
Ho: 0.000 0.500 0.500
Ho: 0.245 0.100 0.268

---

Last place for stability: one